No. 1
Here is a geometry-optimized TiBe2Pb structure from Alexandria. Energies are from GGA-PBE.

The structure in CIF format:
```
data_TiBe2Pb
_cell_length_a 6.9430
_cell_length_b 6.9430
_cell_length_c 5.5157
_cell_angle_alpha 90.00
_cell_angle_beta 90.00
_cell_angle_gamma 90.00
_space_group_name_H-M_alt 'P 1'
_space_group_IT_number 1
loop_
_space_group_symop_operation_xyz
'x,y,z'
loop_
_atom_site_label
_atom_site_fract_x
_atom_site_fract_y
_atom_site_fract_z
Ti1 0.0000 0.0000 0.0000
Ti2 0.0000 0.5000 0.2500
Ti3 0.5000 0.0000 0.7500
Ti4 0.5000 0.5000 0.5000
Be1 0.2492 0.2500 0.6250
Be2 0.2500 0.7492 0.8750
Be3 0.2500 0.7508 0.3750
Be4 0.2508 0.2500 0.1250
Be5 0.7492 0.7500 0.1250
Be6 0.7500 0.2492 0.3750
Be7 0.7500 0.2508 0.8750
Be8 0.7508 0.7500 0.6250
Pb1 0.0000 0.0000 0.5000
Pb2 0.0000 0.5000 0.7500
Pb3 0.5000 0.0000 0.2500
Pb4 0.5000 0.5000 0.0000
```

Results
**ΔH_f (0 K)**: 0.647 eV/atom
**Space-group type**: I-42d, No. 122

No. 2
Here is a geometry-optimized SbTe2PO structure from Alexandria. Energies are from GGA-PBE.

The structure in CIF format:
```
data_SbTe2PO
_cell_length_a 4.7932
_cell_length_b 4.7932
_cell_length_c 4.8183
_cell_angle_alpha 90.00
_cell_angle_beta 90.00
_cell_angle_gamma 90.00
_space_group_name_H-M_alt 'P 1'
_space_group_IT_number 1
loop_
_space_group_symop_operation_xyz
'x,y,z'
loop_
_atom_site_label
_atom_site_fract_x
_atom_site_fract_y
_atom_site_fract_z
Sb1 0.0000 0.0000 0.0000
Te1 0.0000 0.5000 0.5000
Te2 0.5000 0.0000 0.5000
P1 0.5000 0.5000 0.0000
O1 0.0000 0.0000 0.5000
```

Results
**Space-group type**: P4/mmm, No. 123
**ΔE to the lowest computed polymorph**: 0 meV per atom
**Formation energy (no corrections)**: 0.4685 eV/atom

No. 3
Here is a geometry-optimized ThGe2Rh4 structure from Alexandria. Energies are from GGA-PBE.

The structure in CIF format:
```
data_ThGe2Rh4
_cell_length_a 7.8066
_cell_length_b 7.8066
_cell_length_c 3.9043
_cell_angle_alpha 90.00
_cell_angle_beta 90.00
_cell_angle_gamma 90.00
_space_group_name_H-M_alt 'P 1'
_space_group_IT_number 1
loop_
_space_group_symop_operation_xyz
'x,y,z'
loop_
_atom_site_label
_atom_site_fract_x
_atom_site_fract_y
_atom_site_fract_z
Th1 0.0000 0.0000 0.0000
Th2 0.5000 0.5000 0.5000
Ge1 0.2263 0.2263 0.5000
Ge2 0.2737 0.7263 0.0000
Ge3 0.7263 0.2737 0.0000
Ge4 0.7737 0.7737 0.5000
Rh1 0.0767 0.6656 0.5000
Rh2 0.1656 0.4233 0.0000
Rh3 0.3344 0.9233 0.5000
Rh4 0.4233 0.1656 0.0000
Rh5 0.5767 0.8344 0.0000
Rh6 0.6656 0.0767 0.5000
Rh7 0.8344 0.5767 0.0000
Rh8 0.9233 0.3344 0.5000
```

Results
**ΔH_f (0 K)**: -0.697 eV/atom
**Space-group type**: P4_2/mnm, No. 136
**ΔE to the lowest computed polymorph**: 37 meV per atom

No. 4
Here is a geometry-optimized EuThHg structure from Alexandria. Energies are from GGA-PBE.

The structure in CIF format:
```
data_EuThHg
_cell_length_a 3.7107
_cell_length_b 3.7107
_cell_length_c 13.5467
_cell_angle_alpha 90.00
_cell_angle_beta 90.00
_cell_angle_gamma 90.00
_space_group_name_H-M_alt 'P 1'
_space_group_IT_number 1
loop_
_space_group_symop_operation_xyz
'x,y,z'
loop_
_atom_site_label
_atom_site_fract_x
_atom_site_fract_y
_atom_site_fract_z
Eu1 0.0000 0.0000 0.0000
Eu2 0.5000 0.5000 0.5000
Th1 0.0000 0.0000 0.3032
Th2 0.5000 0.5000 0.8032
Hg1 0.0000 0.0000 0.6510
Hg2 0.5000 0.5000 0.1510
```

Results
**ΔH_f (0 K)**: -0.129 eV/atom
**Space-group type**: I4mm, No. 107
**ΔE to the lowest computed polymorph**: 0 meV per atom

- Which formula does entry 1 have?
  TiBe2Pb